(1)
A geometry-optimized NiRh2SI structure, computed with PBE.

Cell and atoms, written as POSCAR:
```
NiRh2SI
1.0
-1.511 -4.476 1.357
3.842 -1.801 -1.663
2.170 0.592 4.370
I Ni S Rh
1 1 1 2
direct
0.000 0.000 0.000 I
0.000 0.500 0.000 Ni
0.500 0.500 0.500 S
0.000 0.000 0.500 Rh
0.500 0.000 0.000 Rh
```

Computed properties:
The mass density comes out at 6.39 g/cm³. The value obtained for the calculated volume is 22.02 A^3/atom. As for the electronic total energy: -3.92 eV/atom. The uncorrected formation energy comes out at 1.32 eV/atom. The value obtained for the density of states at the Fermi level is 7.4 states/eV/cell. The space group is P4/mmm.

(2)
A geometry-optimized Sc2NiRhI structure, computed with PBE.

Cell and atoms, written as POSCAR:
```
Sc2NiRhI
1.0
5.042 0.000 0.000
0.000 4.659 0.000
0.000 0.000 5.042
I Ni Rh Sc
1 1 1 2
direct
0.500 0.500 0.500 I
0.000 0.500 0.000 Ni
0.000 0.000 0.000 Rh
0.000 0.000 0.500 Sc
0.500 0.000 0.000 Sc
```

Computed properties:
The mass density comes out at 5.31 g/cm³. The value obtained for the calculated volume is 23.69 A^3/atom. As for the electronic total energy: -5.49 eV/atom. The uncorrected formation energy comes out at -0.02 eV/atom. The value obtained for the density of states at the Fermi level is 5.4 states/eV/cell. The space group is P4/mmm.

(3)
A geometry-optimized Sm6NiRh2I3 structure, computed with PBE.

Cell and atoms, written as POSCAR:
```
Sm6NiRh2I3
1.0
-4.957 2.055 4.718
3.213 -6.340 0.726
6.295 4.841 2.702
Sm Ni Rh I
6 1 2 3
direct
0.939 0.609 0.817 Sm
0.731 0.731 0.183 Sm
0.061 0.391 0.183 Sm
0.609 0.939 0.817 Sm
0.269 0.269 0.817 Sm
0.391 0.061 0.183 Sm
0.000 0.000 0.000 Ni
0.333 0.667 0.000 Rh
0.667 0.333 0.000 Rh
0.167 0.833 0.500 I
0.833 0.167 0.500 I
0.500 0.500 0.500 I
```

Computed properties:
The mass density comes out at 7.23 g/cm³. The value obtained for the calculated volume is 29.63 A^3/atom. As for the electronic total energy: -5.31 eV/atom. The uncorrected formation energy comes out at -0.86 eV/atom. The value obtained for the density of states at the Fermi level is 6.2 states/eV/cell. The space group is C2/m.

(4)
A geometry-optimized TcNi2RhI structure, computed with PBE.

Cell and atoms, written as POSCAR:
```
TcNi2RhI
1.0
4.437 0.000 0.000
0.000 4.437 0.000
0.000 0.000 5.092
I Ni Rh Tc
1 2 1 1
direct
0.000 0.000 0.500 I
0.000 0.500 0.000 Ni
0.500 0.000 0.000 Ni
0.500 0.500 0.500 Rh
0.000 0.000 0.000 Tc
```

Computed properties:
The mass density comes out at 7.38 g/cm³. The value obtained for the calculated volume is 20.05 A^3/atom. As for the electronic total energy: -4.72 eV/atom. The uncorrected formation energy comes out at 1.45 eV/atom. The value obtained for the density of states at the Fermi level is 6.4 states/eV/cell. The space group is P4/mmm.